# 1
This record from Alexandria describes a relaxed CsBeH6Pd crystal. The functional is GGA-PBE.

Geometry as POSCAR:
```
CsBeH6Pd
1.0
4.490 0.000 0.000
-2.245 3.889 0.000
0.000 0.000 6.279
Cs Be H Pd
1 1 6 1
direct
0.000 0.000 0.000 Cs
0.667 0.333 0.500 Be
0.430 0.015 0.341 H
0.430 0.415 0.659 H
0.585 0.015 0.659 H
0.585 0.570 0.341 H
0.985 0.415 0.341 H
0.985 0.570 0.659 H
0.333 0.667 0.500 Pd
```

Values from the calculation:
DFT total energy   -3.39 eV/atom
Space-group type   No. 149


# 2
This record from Alexandria describes a relaxed LiCd3Ga crystal. The functional is GGA-PBE.

Geometry as POSCAR:
```
LiCd3Ga
1.0
8.259 0.000 0.000
0.000 5.967 0.000
0.000 0.000 8.732
Li Cd Ga
4 12 4
direct
0.224 0.250 0.118 Li
0.276 0.750 0.618 Li
0.724 0.250 0.382 Li
0.776 0.750 0.882 Li
0.099 0.507 0.847 Cd
0.099 0.993 0.847 Cd
0.210 0.750 0.130 Cd
0.290 0.250 0.630 Cd
0.401 0.007 0.347 Cd
0.401 0.493 0.347 Cd
0.599 0.507 0.653 Cd
0.599 0.993 0.653 Cd
0.710 0.750 0.370 Cd
0.790 0.250 0.870 Cd
0.901 0.007 0.153 Cd
0.901 0.493 0.153 Cd
0.000 0.000 0.500 Ga
0.000 0.500 0.500 Ga
0.500 0.000 0.000 Ga
0.500 0.500 0.000 Ga
```

Values from the calculation:
Energy relative to the elements   -0.046 eV/atom
Space-group type   No. 62


# 3
This record from Alexandria describes a relaxed Lu2BRh4 crystal. The functional is GGA-PBE.

Geometry as POSCAR:
```
Lu2BRh4
1.0
4.154 0.000 0.000
0.000 4.154 0.000
0.000 0.000 13.653
Lu B Rh
4 2 8
direct
0.000 0.000 0.148 Lu
0.000 0.000 0.852 Lu
0.500 0.500 0.352 Lu
0.500 0.500 0.648 Lu
0.000 0.000 0.500 B
0.500 0.500 0.000 B
0.000 0.000 0.348 Rh
0.000 0.000 0.652 Rh
0.000 0.500 0.000 Rh
0.000 0.500 0.500 Rh
0.500 0.000 0.000 Rh
0.500 0.000 0.500 Rh
0.500 0.500 0.152 Rh
0.500 0.500 0.848 Rh
```

Values from the calculation:
Energy relative to the elements   -0.674 eV/atom
Space-group type   No. 139


# 4
This record from Alexandria describes a relaxed RbCr2BiB crystal. The functional is GGA-PBE.

Geometry as POSCAR:
```
RbCr2BiB
1.0
5.636 0.000 0.000
0.000 5.636 0.000
0.000 0.000 6.260
Rb Cr Bi B
1 2 1 1
direct
0.000 0.000 0.000 Rb
0.000 0.500 0.000 Cr
0.500 0.000 0.000 Cr
0.000 0.000 0.500 Bi
0.500 0.500 0.500 B
```

Values from the calculation:
Energy relative to the elements   2.849 eV/atom
Space-group type   No. 123


no.,calculated volume (Å³/atom),total magnetic moment (μB/f.u.)
1,12.2,0.000
2,21.5,0.000
3,16.8,0.000
4,39.8,9.375